VASP calculation (PBE-GGA) on a geometry-optimized Ac4Al2Hg5 structure.

- Symmetry: P2/m, No. 10
- DOS at the Fermi energy: 8.18 states/eV/f.u.
- Energy of formation: -394 meV/atom
- Total magnetization: 0.00 μB per atom

a b c (Å): 4.137 8.343 9.845
angles (deg): 83.91 90.00 90.00
Atoms (fractional coordinates):
Ac  0.500  0.733  0.636
Ac  0.500  0.221  0.862
Ac  0.500  0.267  0.364
Ac  0.500  0.779  0.138
Al  0.000  0.067  0.612
Al  0.000  0.933  0.388
Hg  0.000  0.603  0.370
Hg  0.000  0.114  0.130
Hg  0.000  0.500  0.000
Hg  0.000  0.886  0.870
Hg  0.000  0.397  0.630



VASP calculation (PBE-GGA) on a geometry-optimized NiOs2 structure.

- Symmetry: I4/mmm, No. 139
- DOS at the Fermi energy: 3.75 states/eV/f.u.
- Energy of formation: 178 meV/atom
- Distance to the lowest polymorph of the same formula: 40 kJ/mol of formula units
- Total magnetization: 0.05 μB per atom

a b c (Å): 2.718 5.757 2.718
angles (deg): 76.35 90.00 103.65
Site moments in Bohr magnetons follow the coordinates.
Atoms (fractional coordinates):
Ni  0.000  0.000  0.000  0.13
Os  0.334  0.668  0.666  0.01
Os  0.666  0.332  0.334  0.01



VASP calculation (PBE-GGA) on a geometry-optimized Ba2NaAl3Ge4 structure.

- Symmetry: P-4m2, No. 115
- DOS at the Fermi energy: 2.44 states/eV/f.u.
- Energy of formation: -332 meV/atom
- Total magnetization: 0.00 μB per atom

a b c (Å): 4.771 4.771 10.626
angles (deg): 90.00 90.00 90.00
Atoms (fractional coordinates):
Ba  0.500  0.000  0.241
Ba  0.000  0.500  0.759
Na  0.500  0.500  0.500
Al  0.000  0.000  0.500
Al  0.500  0.000  0.884
Al  0.000  0.500  0.116
Ge  0.500  0.500  0.000
Ge  0.000  0.000  0.000
Ge  0.500  0.000  0.642
Ge  0.000  0.500  0.358



VASP calculation (PBE-GGA) on a geometry-optimized W3Cl structure.

- Symmetry: R-3m, No. 166
- DOS at the Fermi energy: 3.93 states/eV/f.u.
- Distance to the lowest polymorph of the same formula: 0 kJ/mol of formula units
- Total magnetization: 0.00 μB per atom
- Formation energy without anion corrections: 0.573 eV/atom

a b c (Å): 9.199 9.199 9.199
angles (deg): 17.92 17.92 17.92
Atoms (fractional coordinates):
Cl  0.000  0.000  0.000
W  0.747  0.747  0.747
W  0.500  0.500  0.500
W  0.253  0.253  0.253



What is the formula in the third record?
Ba2NaAl3Ge4